(1)
First-principles (PBE) data for an optimized crystal structure of AcScCu, as listed in Alexandria.

Structure (extended XYZ):
```
3
Lattice="-0.775 -3.511 -0.186 3.492 -0.747 -0.456 -0.678 1.662 6.302" Properties=species:S:1:pos:R:3 pbc="T T T"
Cu 1.628 -2.313 2.044
Ac 0.016 -0.011 0.141
Sc 0.395 -0.271 3.476
```

Summary:
The formation energy from the elements comes out at -0.4 kcal/mol of atoms. The value obtained for the total magnetic moment is 0.0 Bohr magnetons per cell. Its symmetry is I4mm, No. 107.

(2)
First-principles (PBE) data for an optimized crystal structure of Pr3Cr4Ga2, as listed in Alexandria.

Structure (extended XYZ):
```
9
Lattice="-3.460 1.075 -2.584 4.964 -0.715 -3.110 -3.754 -7.301 1.970" Properties=species:S:1:pos:R:3 pbc="T T T"
Cr -0.524 -2.509 -4.181
Cr -1.725 -4.432 0.457
Cr -0.309 -0.175 -3.505
Cr -1.940 -6.766 -0.218
Ga -3.254 -5.018 -1.568
Ga 1.005 -1.923 -2.156
Pr 0.128 -4.889 -2.214
Pr -2.377 -2.052 -1.510
Pr 0.000 0.000 0.000
```

Summary:
The formation energy from the elements comes out at 4.3 kcal/mol of atoms. The value obtained for the total magnetic moment is 1.7 Bohr magnetons per cell. Its symmetry is P-1, No. 2.

(3)
First-principles (PBE) data for an optimized crystal structure of Pr4SmS6, as listed in Alexandria.

Structure (extended XYZ):
```
22
Lattice="-2.640 2.938 0.537 -1.356 -2.764 -6.340 -13.085 -13.330 8.610" Properties=species:S:1:pos:R:3 pbc="T T T"
Pr -13.187 -10.361 6.660
Pr -7.033 -5.992 -1.789
Pr -15.799 -12.250 4.152
Pr -10.324 -6.673 0.550
Pr -3.894 -2.795 -3.854
Pr -10.048 -7.164 4.595
Pr -1.282 -0.906 -1.346
Pr -6.757 -6.483 2.256
S -1.320 1.469 0.268
S -12.199 -9.044 4.309
S -2.512 -2.405 0.810
S -14.569 -10.751 1.996
S -13.124 -12.713 5.040
S -3.957 -0.443 -2.234
S -8.961 -8.471 2.300
S -4.882 -4.112 -1.503
S -7.863 -5.196 4.573
S -12.475 -8.617 0.617
S -4.607 -4.539 2.189
S -8.120 -4.685 0.506
Sm -11.669 -10.895 2.248
Sm -5.412 -2.261 0.558
```

Summary:
The value obtained for the total magnetic moment is 0.0 Bohr magnetons per cell. Its symmetry is Cmcm, No. 63. The energy relative to the elements, uncorrected comes out at -2015 meV/atom.

(4)
First-principles (PBE) data for an optimized crystal structure of KSb2RuI, as listed in Alexandria.

Structure (extended XYZ):
```
5
Lattice="-3.504 1.242 3.467 -3.512 0.313 -3.661 -1.378 -6.120 0.799" Properties=species:S:1:pos:R:3 pbc="T T T"
I -0.689 -3.060 0.400
Sb -1.752 0.621 1.734
Sb -1.756 0.156 -1.831
Ru 0.000 0.000 0.000
K -4.197 -2.283 0.303
```

Summary:
The value obtained for the total magnetic moment is 0.0 Bohr magnetons per cell. Its symmetry is P4/mmm, No. 123. The energy relative to the elements, uncorrected comes out at -58 meV/atom. The relative energy among the computed polymorphs is 0 meV/atom.

no.,E_tot (eV for the cell shown),volume (Å³ per cell),density of states at the Fermi level (states/eV/cell)
1,-14.6,78.3,3.547
2,-57.2,186.1,9.116
3,-141.5,554.2,5.246
4,-20.5,163.4,3.959